1.
## KNaCu3 (PBE)

Data for a relaxed structure of KNaCu3.

Computed properties:
Energy, eV/cell: -8.4
Volume, Å³ per cell: 173.3
Magnetic moment, μB/cell: 0.00
Space-group type: Pm-3m, No. 221
E_form, eV per formula unit: 6.28
DOS at the Fermi energy, states/eV per cell: 3.3

a = 5.5749 Å, b = 5.5749 Å, c = 5.5749 Å
α = 90.00°, β = 90.00°, γ = 90.00°
Positions (direct):
K 0.0000 0.0000 0.0000
Na 0.5000 0.5000 0.5000
Cu 0.0000 0.0000 0.5000
Cu 0.0000 0.5000 0.0000
Cu 0.5000 0.0000 0.0000


2.
## YAlGe2 (PBE)

Data for a relaxed structure of YAlGe2.

Computed properties:
Energy, eV/cell: -62.3
Volume, Å³ per cell: 247.4
Magnetic moment, μB/cell: 0.00
Space-group type: R-3m, No. 166
E_form, eV per formula unit: -1.33
DOS at the Fermi energy, states/eV per cell: 6.1

a = 4.4212 Å, b = 4.4212 Å, c = 14.6143 Å
α = 90.00°, β = 90.00°, γ = 120.00°
Positions (direct):
Y 0.0000 0.0000 0.0000
Y 0.3333 0.6667 0.6667
Y 0.6667 0.3333 0.3333
Al 0.0000 0.0000 0.5000
Al 0.3333 0.6667 0.1667
Al 0.6667 0.3333 0.8333
Ge 0.0000 0.0000 0.2198
Ge 0.0000 0.0000 0.7802
Ge 0.3333 0.6667 0.4468
Ge 0.3333 0.6667 0.8865
Ge 0.6667 0.3333 0.1135
Ge 0.6667 0.3333 0.5532


3.
## MnCuSi2 (PBE)

Data for a relaxed structure of MnCuSi2.

Computed properties:
Formation energy without anion corrections, eV/atom: 0.301
Energy, eV/cell: -91.6
Volume, Å³ per cell: 210.3
Magnetic moment, μB/cell: 10.90
Space-group type: F-43m, No. 216
DOS at the Fermi energy, states/eV per cell: 11.6

a = 5.9469 Å, b = 5.9469 Å, c = 5.9469 Å
α = 90.00°, β = 90.00°, γ = 90.00°
Positions (direct):
Mn 0.0000 0.0000 0.0000
Mn 0.0000 0.5000 0.5000
Mn 0.5000 0.0000 0.5000
Mn 0.5000 0.5000 0.0000
Cu 0.2500 0.2500 0.2500
Cu 0.2500 0.7500 0.7500
Cu 0.7500 0.2500 0.7500
Cu 0.7500 0.7500 0.2500
Si 0.0000 0.0000 0.5000
Si 0.0000 0.5000 0.0000
Si 0.2500 0.2500 0.7500
Si 0.2500 0.7500 0.2500
Si 0.5000 0.0000 0.0000
Si 0.5000 0.5000 0.5000
Si 0.7500 0.2500 0.2500
Si 0.7500 0.7500 0.7500


4.
## Sr2CeN2Cl2 (PBE)

Data for a relaxed structure of Sr2CeN2Cl2.

Computed properties:
Formation energy without anion corrections, eV/atom: -1.684
Energy, eV/cell: -82.9
Volume, Å³ per cell: 313.7
Magnetic moment, μB/cell: 0.00
Space-group type: I4/mmm, No. 139

a = 4.5276 Å, b = 4.5276 Å, c = 15.3047 Å
α = 90.00°, β = 90.00°, γ = 90.00°
Positions (direct):
Sr 0.0000 0.0000 0.1099
Sr 0.0000 0.0000 0.8901
Sr 0.5000 0.5000 0.3901
Sr 0.5000 0.5000 0.6099
Ce 0.0000 0.0000 0.5000
Ce 0.5000 0.5000 0.0000
N 0.0000 0.5000 0.0000
N 0.0000 0.5000 0.5000
N 0.5000 0.0000 0.0000
N 0.5000 0.0000 0.5000
Cl 0.0000 0.0000 0.3113
Cl 0.0000 0.0000 0.6887
Cl 0.5000 0.5000 0.1887
Cl 0.5000 0.5000 0.8113


5.
## TcPOs2 (PBE)

Data for a relaxed structure of TcPOs2.

Computed properties:
Energy, eV/cell: -37.3
Volume, Å³ per cell: 57.5
Magnetic moment, μB/cell: 0.00
Space-group type: Pmm2, No. 25
E_form, eV per formula unit: 0.89
DOS at the Fermi energy, states/eV per cell: 2.3

a = 2.8204 Å, b = 3.8284 Å, c = 5.3251 Å
α = 90.00°, β = 90.00°, γ = 90.00°
Positions (direct):
Tc 0.0000 0.0000 0.0000
P 0.5000 0.5000 0.8567
Os 0.0000 0.0000 0.5266
Os 0.5000 0.5000 0.3428


6.
## Ca2EuY (PBE)

Data for a relaxed structure of Ca2EuY.

Computed properties:
Energy, eV/cell: -81.0
Volume, Å³ per cell: 613.8
Magnetic moment, μB/cell: 30.20
Space-group type: Fm-3m, No. 225
E_form, eV per formula unit: 0.49
DOS at the Fermi energy, states/eV per cell: 19.7

a = 8.4987 Å, b = 8.4987 Å, c = 8.4987 Å
α = 90.00°, β = 90.00°, γ = 90.00°
Positions (direct):
Ca 0.2500 0.2500 0.2500
Ca 0.2500 0.2500 0.7500
Ca 0.2500 0.7500 0.2500
Ca 0.2500 0.7500 0.7500
Ca 0.7500 0.2500 0.2500
Ca 0.7500 0.2500 0.7500
Ca 0.7500 0.7500 0.2500
Ca 0.7500 0.7500 0.7500
Eu 0.0000 0.0000 0.0000
Eu 0.0000 0.5000 0.5000
Eu 0.5000 0.0000 0.5000
Eu 0.5000 0.5000 0.0000
Y 0.0000 0.0000 0.5000
Y 0.0000 0.5000 0.0000
Y 0.5000 0.0000 0.0000
Y 0.5000 0.5000 0.5000


7.
## BaNa4Ti2Si12O30 (PBE)

Data for a relaxed structure of BaNa4Ti2Si12O30.

Computed properties:
Formation energy without anion corrections, eV/atom: -2.689
Energy, eV/cell: -368.6
Volume, Å³ per cell: 657.7
Magnetic moment, μB/cell: 1.77
Space-group type: C2/m, No. 12
DOS at the Fermi energy, states/eV per cell: 5.8

a = 10.1383 Å, b = 10.1383 Å, c = 7.3557 Å
α = 91.90°, β = 91.90°, γ = 119.33°
Positions (direct):
Ba 0.0000 0.0000 0.0000
Na 0.2679 0.2679 0.4656
Na 0.2677 0.7323 0.5000
Na 0.7323 0.2677 0.5000
Na 0.7321 0.7321 0.5344
Ti 0.0836 0.9164 0.5000
Ti 0.9164 0.0836 0.5000
Si 0.0672 0.3750 0.1888
Si 0.0734 0.4147 0.7628
Si 0.3750 0.0672 0.1888
Si 0.4086 0.5820 0.2174
Si 0.4147 0.0734 0.7628
Si 0.4180 0.5914 0.7826
Si 0.5820 0.4086 0.2174
Si 0.5853 0.9266 0.2372
Si 0.5914 0.4180 0.7826
Si 0.6250 0.9328 0.8112
Si 0.9266 0.5853 0.2372
Si 0.9328 0.6250 0.8112
O 0.0393 0.2227 0.2778
O 0.0508 0.7122 0.3743
O 0.0587 0.5702 0.7799
O 0.0790 0.3537 0.9670
O 0.0892 0.0892 0.6294
O 0.2227 0.0393 0.2778
O 0.2346 0.5219 0.2710
O 0.2495 0.4812 0.6877
O 0.2878 0.9492 0.6257
O 0.3537 0.0790 0.9670
O 0.4183 0.5817 0.0000
O 0.4298 0.9413 0.2201
O 0.4658 0.4658 0.2953
O 0.4781 0.7654 0.7290
O 0.4812 0.2495 0.6877
O 0.5188 0.7505 0.3123
O 0.5219 0.2346 0.2710
O 0.5342 0.5342 0.7047
O 0.5702 0.0587 0.7799
O 0.5817 0.4183 0.0000
O 0.6463 0.9210 0.0330
O 0.7122 0.0508 0.3743
O 0.7505 0.5188 0.3123
O 0.7654 0.4781 0.7290
O 0.7773 0.9607 0.7222
O 0.9108 0.9108 0.3706
O 0.9210 0.6463 0.0330
O 0.9413 0.4298 0.2201
O 0.9492 0.2878 0.6257
O 0.9607 0.7773 0.7222


8.
## Sc2AsF (PBE)

Data for a relaxed structure of Sc2AsF.

Computed properties:
Formation energy without anion corrections, eV/atom: -1.540
Energy, eV/cell: -101.4
Volume, Å³ per cell: 272.7
Magnetic moment, μB/cell: 7.09
Space-group type: Fm-3m, No. 225
DOS at the Fermi energy, states/eV per cell: 8.8

a = 6.4850 Å, b = 6.4850 Å, c = 6.4850 Å
α = 90.00°, β = 90.00°, γ = 90.00°
Positions (direct):
Sc 0.2500 0.2500 0.2500
Sc 0.2500 0.2500 0.7500
Sc 0.2500 0.7500 0.2500
Sc 0.2500 0.7500 0.7500
Sc 0.7500 0.2500 0.2500
Sc 0.7500 0.2500 0.7500
Sc 0.7500 0.7500 0.2500
Sc 0.7500 0.7500 0.7500
As 0.0000 0.0000 0.0000
As 0.0000 0.5000 0.5000
As 0.5000 0.0000 0.5000
As 0.5000 0.5000 0.0000
F 0.0000 0.0000 0.5000
F 0.0000 0.5000 0.0000
F 0.5000 0.0000 0.0000
F 0.5000 0.5000 0.5000


9.
## Na2In4Sn3 (PBE)

Data for a relaxed structure of Na2In4Sn3.

Computed properties:
Energy, eV/cell: -52.3
Volume, Å³ per cell: 501.1
Magnetic moment, μB/cell: 0.00
Space-group type: P-1, No. 2
E_form, eV per formula unit: -0.54
DOS at the Fermi energy, states/eV per cell: 7.0

a = 6.2392 Å, b = 8.8380 Å, c = 9.3849 Å
α = 102.01°, β = 92.60°, γ = 96.96°
Positions (direct):
Na 0.1702 0.2238 0.0111
Na 0.2599 0.9900 0.2583
Na 0.7401 0.0100 0.7417
Na 0.8298 0.7762 0.9889
In 0.0305 0.3281 0.3829
In 0.2208 0.0277 0.6189
In 0.2974 0.5979 0.0457
In 0.4855 0.6224 0.6942
In 0.5145 0.3776 0.3058
In 0.7026 0.4021 0.9543
In 0.7792 0.9723 0.3811
In 0.9695 0.6719 0.6171
Sn 0.0926 0.3711 0.7259
Sn 0.3194 0.8860 0.9017
Sn 0.4035 0.7114 0.4027
Sn 0.5965 0.2886 0.5973
Sn 0.6806 0.1140 0.0983
Sn 0.9074 0.6289 0.2741


10.
## BeHg2Ir (PBE)

Data for a relaxed structure of BeHg2Ir.

Computed properties:
Energy, eV/cell: -24.2
Volume, Å³ per cell: 141.7
Magnetic moment, μB/cell: 0.00
Space-group type: Cmm2, No. 35
E_form, eV per formula unit: 1.09
DOS at the Fermi energy, states/eV per cell: 2.2

a = 2.9756 Å, b = 5.0301 Å, c = 9.4699 Å
α = 90.00°, β = 90.00°, γ = 90.00°
Positions (direct):
Be 0.0000 0.0000 0.0000
Be 0.5000 0.5000 0.0000
Hg 0.0000 0.0000 0.5587
Hg 0.0000 0.5000 0.2326
Hg 0.5000 0.0000 0.2326
Hg 0.5000 0.5000 0.5587
Ir 0.0000 0.5000 0.8331
Ir 0.5000 0.0000 0.8331


11.
## NaLaAu3 (PBE)

Data for a relaxed structure of NaLaAu3.

Computed properties:
Energy, eV/cell: -16.4
Volume, Å³ per cell: 127.7
Magnetic moment, μB/cell: 0.00
Space-group type: Pm-3m, No. 221
E_form, eV per formula unit: -0.36
DOS at the Fermi energy, states/eV per cell: 2.0

a = 5.0354 Å, b = 5.0354 Å, c = 5.0354 Å
α = 90.00°, β = 90.00°, γ = 90.00°
Positions (direct):
Na 0.0000 0.0000 0.0000
La 0.5000 0.5000 0.5000
Au 0.0000 0.0000 0.5000
Au 0.0000 0.5000 0.0000
Au 0.5000 0.0000 0.0000


12.
## TiIrAu2 (PBE)

Data for a relaxed structure of TiIrAu2.

Computed properties:
Energy, eV/cell: -89.6
Volume, Å³ per cell: 288.8
Magnetic moment, μB/cell: 0.00
Space-group type: I-42d, No. 122
E_form, eV per formula unit: 0.92
DOS at the Fermi energy, states/eV per cell: 15.3

a = 7.3924 Å, b = 7.3924 Å, c = 5.2854 Å
α = 90.00°, β = 90.00°, γ = 90.00°
Positions (direct):
Ti 0.0000 0.0000 0.0000
Ti 0.0000 0.5000 0.2500
Ti 0.5000 0.0000 0.7500
Ti 0.5000 0.5000 0.5000
Ir 0.0000 0.0000 0.5000
Ir 0.0000 0.5000 0.7500
Ir 0.5000 0.0000 0.2500
Ir 0.5000 0.5000 0.0000
Au 0.2468 0.2500 0.1250
Au 0.2500 0.7468 0.3750
Au 0.2500 0.7532 0.8750
Au 0.2532 0.2500 0.6250
Au 0.7468 0.7500 0.6250
Au 0.7500 0.2468 0.8750
Au 0.7500 0.2532 0.3750
Au 0.7532 0.7500 0.1250


13.
## Re2S2F (PBE)

Data for a relaxed structure of Re2S2F.

Computed properties:
Formation energy without anion corrections, eV/atom: -0.153
Energy, eV/cell: -71.6
Volume, Å³ per cell: 169.1
Magnetic moment, μB/cell: 0.00
Space-group type: I4/mmm, No. 139
DOS at the Fermi energy, states/eV per cell: 8.7

a = 3.7651 Å, b = 3.7651 Å, c = 11.9281 Å
α = 90.00°, β = 90.00°, γ = 90.00°
Positions (direct):
Re 0.0000 0.5000 0.2500
Re 0.0000 0.5000 0.7500
Re 0.5000 0.0000 0.2500
Re 0.5000 0.0000 0.7500
S 0.0000 0.0000 0.1250
S 0.0000 0.0000 0.8750
S 0.5000 0.5000 0.3750
S 0.5000 0.5000 0.6250
F 0.0000 0.0000 0.5000
F 0.5000 0.5000 0.0000


14.
## YScTc2 (PBE)

Data for a relaxed structure of YScTc2.

Computed properties:
Energy, eV/cell: -33.7
Volume, Å³ per cell: 82.0
Magnetic moment, μB/cell: 0.00
Space-group type: P4mm, No. 99
E_form, eV per formula unit: -0.20
DOS at the Fermi energy, states/eV per cell: 4.7

a = 3.1069 Å, b = 3.1069 Å, c = 8.4940 Å
α = 90.00°, β = 90.00°, γ = 90.00°
Positions (direct):
Y 0.0000 0.0000 0.0000
Sc 0.5000 0.5000 0.3623
Tc 0.0000 0.0000 0.5837
Tc 0.5000 0.5000 0.7477


15.
## Ca2NiW (PBE)

Data for a relaxed structure of Ca2NiW.

Computed properties:
Energy, eV/cell: -75.3
Volume, Å³ per cell: 358.6
Magnetic moment, μB/cell: 14.95
Space-group type: Fm-3m, No. 225
E_form, eV per formula unit: 3.92
DOS at the Fermi energy, states/eV per cell: 13.5

a = 7.1043 Å, b = 7.1043 Å, c = 7.1043 Å
α = 90.00°, β = 90.00°, γ = 90.00°
Positions (direct):
Ca 0.2500 0.2500 0.2500
Ca 0.2500 0.2500 0.7500
Ca 0.2500 0.7500 0.2500
Ca 0.2500 0.7500 0.7500
Ca 0.7500 0.2500 0.2500
Ca 0.7500 0.2500 0.7500
Ca 0.7500 0.7500 0.2500
Ca 0.7500 0.7500 0.7500
Ni 0.0000 0.0000 0.0000
Ni 0.0000 0.5000 0.5000
Ni 0.5000 0.0000 0.5000
Ni 0.5000 0.5000 0.0000
W 0.0000 0.0000 0.5000
W 0.0000 0.5000 0.0000
W 0.5000 0.0000 0.0000
W 0.5000 0.5000 0.5000


16.
## HfTl2Cd (PBE)

Data for a relaxed structure of HfTl2Cd.

Computed properties:
Energy, eV/cell: -56.3
Volume, Å³ per cell: 405.2
Magnetic moment, μB/cell: 0.00
Space-group type: I-42d, No. 122
E_form, eV per formula unit: 1.54
DOS at the Fermi energy, states/eV per cell: 5.6

a = 7.9963 Å, b = 7.9963 Å, c = 6.3379 Å
α = 90.00°, β = 90.00°, γ = 90.00°
Positions (direct):
Hf 0.0000 0.0000 0.0000
Hf 0.0000 0.5000 0.2500
Hf 0.5000 0.0000 0.7500
Hf 0.5000 0.5000 0.5000
Tl 0.2426 0.2500 0.6250
Tl 0.2500 0.7426 0.8750
Tl 0.2500 0.7574 0.3750
Tl 0.2574 0.2500 0.1250
Tl 0.7426 0.7500 0.1250
Tl 0.7500 0.2426 0.3750
Tl 0.7500 0.2574 0.8750
Tl 0.7574 0.7500 0.6250
Cd 0.0000 0.0000 0.5000
Cd 0.0000 0.5000 0.7500
Cd 0.5000 0.0000 0.2500
Cd 0.5000 0.5000 0.0000


17.
## Ir2PtPb (PBE)

Data for a relaxed structure of Ir2PtPb.

Computed properties:
Energy, eV/cell: -76.9
Volume, Å³ per cell: 212.0
Magnetic moment, μB/cell: 0.00
Space-group type: R3m, No. 160
E_form, eV per formula unit: 1.85
DOS at the Fermi energy, states/eV per cell: 17.3

a = 2.9371 Å, b = 2.9371 Å, c = 28.3740 Å
α = 90.00°, β = 90.00°, γ = 120.00°
Positions (direct):
Ir 0.0000 0.0000 0.0000
Ir 0.0000 0.0000 0.2611
Ir 0.3333 0.6667 0.6667
Ir 0.3333 0.6667 0.9278
Ir 0.6667 0.3333 0.3333
Ir 0.6667 0.3333 0.5945
Pt 0.0000 0.0000 0.5172
Pt 0.3333 0.6667 0.1839
Pt 0.6667 0.3333 0.8506
Pb 0.0000 0.0000 0.7577
Pb 0.3333 0.6667 0.4243
Pb 0.6667 0.3333 0.0910